No. 1
A plane-wave DFT calculation with GGA-PBE was carried out for crystalline PuFeHg at its relaxed geometry.

Computed properties:
DFT total energy: -45.77 eV/cell

Geometry as POSCAR:
```
PuFeHg
1.0
0.0000 4.4239 4.7041
2.8263 0.0000 4.7041
2.8263 4.4239 0.0000
Pu Fe Hg
2 2 2
Direct
0.1817 0.1817 0.8183 Pu
0.8183 0.8183 0.1817 Pu
0.2500 0.2500 0.2500 Fe
0.7500 0.7500 0.7500 Fe
0.3324 0.6676 0.3324 Hg
0.6676 0.3324 0.6676 Hg
```

---

No. 2
A plane-wave DFT calculation with GGA-PBE was carried out for crystalline HoGa3PdRh at its relaxed geometry.

Computed properties:
DFT total energy: -58.56 eV/cell

Geometry as POSCAR:
```
HoGa3PdRh
1.0
4.1541 -5.4583 0.0000
4.1541 5.4583 0.0000
0.0000 0.0000 5.2527
Ho Ga Pd Rh
2 6 2 2
Direct
0.1939 0.8061 0.7500 Ho
0.8061 0.1939 0.2500 Ho
0.2501 0.2501 0.0000 Ga
0.2501 0.2501 0.5000 Ga
0.3289 0.6711 0.2500 Ga
0.6711 0.3289 0.7500 Ga
0.7499 0.7499 0.0000 Ga
0.7499 0.7499 0.5000 Ga
0.0845 0.9155 0.2500 Pd
0.9155 0.0845 0.7500 Pd
0.4332 0.5668 0.7500 Rh
0.5668 0.4332 0.2500 Rh
```

---

Number 1: formation enthalpy at 0 K 0.2 eV per formula unit. Number 2: formation enthalpy at 0 K -3.1 eV per formula unit.